Density functional theory data (GGA+U) for a relaxed structure of CsCdMoF2.

```
5
Lattice="5.2352 0.0000 0.0000 0.0000 6.5615 0.0000 0.0000 0.0000 5.2352" Properties=species:S:1:pos:R:3 pbc="T T T"
F 0.0000 0.0000 2.6176
F 2.6176 0.0000 0.0000
Mo 2.6176 3.2808 2.6176
Cd 0.0000 3.2808 0.0000
Cs 0.0000 0.0000 0.0000
```

Output
E: -2.8938 eV/atom
crystal system: tetragonal